This record from Alexandria describes crystalline Pm6Si3C at its relaxed geometry. The functional is PBE-GGA.

Geometry as POSCAR:
```
Pm6Si3C
1.0
6.411 0.000 -0.006
0.000 7.912 0.000
0.056 0.000 10.330
Pm C Si
12 2 6
Direct
0.361 0.799 0.438 Pm
0.139 0.299 0.062 Pm
0.827 0.665 0.564 Pm
0.673 0.165 0.936 Pm
0.630 0.451 0.266 Pm
0.130 0.049 0.766 Pm
0.327 0.835 0.064 Pm
0.173 0.335 0.436 Pm
0.870 0.951 0.234 Pm
0.861 0.701 0.938 Pm
0.639 0.201 0.562 Pm
0.370 0.549 0.734 Pm
0.000 0.000 0.000 C
0.500 0.500 0.500 C
0.000 0.000 0.500 Si
0.068 0.607 0.246 Si
0.500 0.500 0.000 Si
0.932 0.393 0.754 Si
0.432 0.107 0.254 Si
0.568 0.893 0.746 Si
```

As for the symmetry: P2_1/c, No. 14.

=====

This record from Alexandria describes crystalline Pm6SiC2 at its relaxed geometry. The functional is PBE-GGA.

Geometry as POSCAR:
```
Pm6SiC2
1.0
-1.794 2.874 -3.889
4.160 -0.629 -5.805
-3.802 -4.410 -4.925
Pm C Si
6 2 1
Direct
0.968 0.860 0.204 Pm
0.649 0.284 0.418 Pm
0.351 0.716 0.582 Pm
0.032 0.140 0.796 Pm
0.298 0.333 0.071 Pm
0.702 0.667 0.929 Pm
0.181 0.719 0.920 C
0.819 0.281 0.080 C
0.000 0.500 0.500 Si
```

As for the symmetry: C2/m, No. 12.

=====

This record from Alexandria describes crystalline PmSiC at its relaxed geometry. The functional is PBE-GGA.

Geometry as POSCAR:
```
PmSiC
1.0
3.774 0.000 0.000
0.000 3.774 0.000
-1.887 -1.887 8.228
C Si Pm
2 2 2
Direct
0.179 0.179 0.359 C
0.821 0.821 0.641 C
0.930 0.930 0.860 Si
0.070 0.070 0.140 Si
0.328 0.328 0.656 Pm
0.672 0.672 0.344 Pm
```

As for the symmetry: I4/mmm, No. 139. For the energy above the lowest structure with this stoichiometry, the calculation gives 393.8 meV per atom.

=====

This record from Alexandria describes crystalline Pm2SiC at its relaxed geometry. The functional is PBE-GGA.

Geometry as POSCAR:
```
Pm2SiC
1.0
-0.999 3.543 0.717
-1.839 1.991 -2.593
-7.343 -0.512 2.103
C Si Pm
1 1 2
Direct
0.500 0.500 0.500 C
0.000 0.000 0.000 Si
0.232 0.232 0.304 Pm
0.768 0.768 0.696 Pm
```

As for the symmetry: R-3m, No. 166. For the energy above the lowest structure with this stoichiometry, the calculation gives 0.0 meV per atom.

=====

This record from Alexandria describes crystalline Pm3SiC4 at its relaxed geometry. The functional is PBE-GGA.

Geometry as POSCAR:
```
Pm3SiC4
1.0
-2.143 -2.924 -0.847
3.474 -1.618 -3.200
2.845 -1.649 6.677
Pm C Si
3 4 1
Direct
0.178 0.191 0.355 Pm
0.822 0.809 0.645 Pm
0.000 0.500 0.000 Pm
0.631 0.808 0.261 C
0.355 0.451 0.711 C
0.645 0.549 0.289 C
0.369 0.192 0.739 C
0.500 0.000 0.000 Si
```

As for the symmetry: C2/m, No. 12.

=====

This record from Alexandria describes crystalline Pm4Si2C at its relaxed geometry. The functional is PBE-GGA.

Geometry as POSCAR:
```
Pm4Si2C
1.0
-3.413 3.218 -1.207
-0.564 -2.202 -4.277
-3.463 -5.128 5.839
Si Pm C
2 4 1
Direct
0.635 0.635 0.270 Si
0.365 0.365 0.730 Si
0.829 0.829 0.658 Pm
0.500 0.000 0.000 Pm
0.171 0.171 0.342 Pm
0.000 0.500 0.000 Pm
0.000 0.000 0.000 C
```

As for the symmetry: I4/mmm, No. 139. For the energy above the lowest structure with this stoichiometry, the calculation gives 0.0 meV per atom.

=====

This record from Alexandria describes crystalline Pm2SiC at its relaxed geometry. The functional is PBE-GGA.

Geometry as POSCAR:
```
Pm2SiC
1.0
3.507 0.000 -0.004
0.000 3.802 0.000
-1.757 -1.900 7.003
Pm C Si
2 1 1
Direct
0.872 0.883 0.747 Pm
0.128 0.135 0.253 Pm
0.500 0.009 0.000 C
0.500 0.509 0.000 Si
```

As for the symmetry: C2/m, No. 12. For the energy above the lowest structure with this stoichiometry, the calculation gives 23.0 meV per atom.

=====

This record from Alexandria describes crystalline Pm6Si2C at its relaxed geometry. The functional is PBE-GGA.

Geometry as POSCAR:
```
Pm6Si2C
1.0
-6.566 0.159 -1.272
-1.071 -4.331 4.985
-1.285 9.286 7.792
Si Pm C
4 12 2
Direct
0.500 0.500 0.832 Si
0.000 0.000 0.332 Si
0.500 0.500 0.168 Si
0.000 0.000 0.668 Si
0.806 0.194 0.852 Pm
0.306 0.306 0.352 Pm
0.194 0.806 0.852 Pm
0.694 0.694 0.648 Pm
0.775 0.225 0.500 Pm
0.806 0.194 0.148 Pm
0.694 0.694 0.352 Pm
0.225 0.775 0.500 Pm
0.194 0.806 0.148 Pm
0.306 0.306 0.648 Pm
0.275 0.275 0.000 Pm
0.725 0.725 0.000 Pm
0.000 0.000 0.000 C
0.500 0.500 0.500 C
```

As for the symmetry: P4_2/mnm, No. 136. For the energy above the lowest structure with this stoichiometry, the calculation gives 203.3 meV per atom.

=====

This record from Alexandria describes crystalline Pm4SiC at its relaxed geometry. The functional is PBE-GGA.

Geometry as POSCAR:
```
Pm4SiC
1.0
5.960 -0.719 0.000
-3.897 6.354 0.000
0.000 0.000 9.621
Si Pm C
2 8 2
Direct
0.000 0.580 0.750 Si
0.000 0.420 0.250 Si
0.000 0.264 0.543 Pm
0.000 0.736 0.043 Pm
0.000 0.736 0.457 Pm
0.585 0.706 0.750 Pm
0.000 0.264 0.957 Pm
0.415 0.294 0.250 Pm
0.415 0.120 0.750 Pm
0.585 0.880 0.250 Pm
0.000 0.091 0.750 C
0.000 0.909 0.250 C
```

As for the symmetry: Cmcm, No. 63.

=====

This record from Alexandria describes crystalline Pm2SiC at its relaxed geometry. The functional is PBE-GGA.

Geometry as POSCAR:
```
Pm2SiC
1.0
-0.734 -2.348 -2.117
4.888 -0.927 -0.667
-0.122 -3.339 3.746
Pm Si C
2 1 1
Direct
0.000 0.500 0.000 Pm
0.000 0.000 0.500 Pm
0.500 0.000 0.000 Si
0.500 0.500 0.500 C
```

As for the symmetry: P4/mmm, No. 123. For the energy above the lowest structure with this stoichiometry, the calculation gives 511.5 meV per atom.

=====

This record from Alexandria describes crystalline Pm4Si2C at its relaxed geometry. The functional is PBE-GGA.

Geometry as POSCAR:
```
Pm4Si2C
1.0
6.930 0.000 -0.082
0.000 6.553 0.000
-2.644 0.000 8.196
Si Pm C
4 8 2
Direct
0.283 0.250 0.945 Si
0.241 0.250 0.437 Si
0.759 0.750 0.563 Si
0.717 0.750 0.055 Si
0.512 0.001 0.749 Pm
0.946 0.250 0.631 Pm
0.054 0.750 0.369 Pm
0.512 0.499 0.749 Pm
0.061 0.750 0.910 Pm
0.488 0.999 0.251 Pm
0.488 0.501 0.251 Pm
0.939 0.250 0.090 Pm
0.245 0.750 0.189 C
0.755 0.250 0.811 C
```

As for the symmetry: P2_1/m, No. 11. For the energy above the lowest structure with this stoichiometry, the calculation gives 45.8 meV per atom.

=====

This record from Alexandria describes crystalline Pm8Si2C3 at its relaxed geometry. The functional is PBE-GGA.

Geometry as POSCAR:
```
Pm8Si2C3
1.0
-5.198 3.518 2.125
-4.458 -3.819 -4.581
2.834 -3.910 6.553
Pm C Si
8 3 2
Direct
0.396 0.863 0.203 Pm
0.095 0.898 0.796 Pm
0.905 0.102 0.204 Pm
0.046 0.387 0.774 Pm
0.604 0.137 0.797 Pm
0.396 0.340 0.203 Pm
0.604 0.660 0.797 Pm
0.954 0.613 0.226 Pm
0.000 0.258 0.000 C
0.000 0.742 0.000 C
0.500 0.000 0.000 C
0.323 0.256 0.512 Si
0.677 0.744 0.488 Si
```

As for the symmetry: C2/m, No. 12.

=====

This record from Alexandria describes crystalline Pm3SiC2 at its relaxed geometry. The functional is PBE-GGA.

Geometry as POSCAR:
```
Pm3SiC2
1.0
-3.523 1.065 -0.889
-1.538 -5.361 -0.328
-2.790 0.114 11.200
C Si Pm
4 2 6
Direct
0.000 0.245 0.385 C
0.000 0.755 0.615 C
0.500 0.745 0.115 C
0.500 0.255 0.885 C
0.000 0.000 0.500 Si
0.500 0.500 0.000 Si
0.000 0.519 0.209 Pm
0.000 0.481 0.791 Pm
0.500 0.500 0.500 Pm
0.000 0.000 0.000 Pm
0.500 0.019 0.291 Pm
0.500 0.981 0.709 Pm
```

As for the symmetry: Pnnm, No. 58.

=====

This record from Alexandria describes crystalline Pm12Si3C5 at its relaxed geometry. The functional is PBE-GGA.

Geometry as POSCAR:
```
Pm12Si3C5
1.0
13.840 0.000 0.000
-4.613 13.049 0.000
-4.613 -6.524 11.300
Pm Si C
48 12 20
Direct
0.906 0.820 0.527 Pm
0.621 0.027 0.207 Pm
0.320 0.527 0.406 Pm
0.379 0.406 0.086 Pm
0.027 0.406 0.820 Pm
0.086 0.906 0.379 Pm
0.527 0.207 0.121 Pm
0.820 0.914 0.293 Pm
0.879 0.586 0.906 Pm
0.973 0.594 0.180 Pm
0.820 0.906 0.027 Pm
0.293 0.879 0.973 Pm
0.914 0.094 0.621 Pm
0.594 0.621 0.414 Pm
0.379 0.973 0.793 Pm
0.621 0.594 0.914 Pm
0.879 0.293 0.473 Pm
0.414 0.121 0.594 Pm
0.406 0.027 0.320 Pm
0.180 0.086 0.707 Pm
0.586 0.707 0.680 Pm
0.293 0.414 0.820 Pm
0.793 0.320 0.914 Pm
0.094 0.914 0.121 Pm
0.586 0.879 0.406 Pm
0.086 0.180 0.207 Pm
0.594 0.973 0.680 Pm
0.121 0.707 0.527 Pm
0.027 0.621 0.707 Pm
0.707 0.586 0.180 Pm
0.906 0.086 0.879 Pm
0.207 0.527 0.621 Pm
0.121 0.414 0.094 Pm
0.473 0.680 0.094 Pm
0.406 0.379 0.586 Pm
0.414 0.293 0.320 Pm
0.527 0.320 0.906 Pm
0.914 0.820 0.793 Pm
0.207 0.680 0.086 Pm
0.707 0.121 0.027 Pm
0.973 0.379 0.293 Pm
0.094 0.180 0.473 Pm
0.320 0.793 0.414 Pm
0.793 0.473 0.379 Pm
0.180 0.094 0.973 Pm
0.680 0.207 0.586 Pm
0.680 0.473 0.594 Pm
0.473 0.793 0.879 Pm
0.375 0.625 0.250 Si
0.875 0.750 0.125 Si
0.375 0.750 0.625 Si
0.250 0.625 0.875 Si
0.750 0.875 0.625 Si
0.625 0.250 0.375 Si
0.125 0.875 0.750 Si
0.625 0.375 0.750 Si
0.125 0.250 0.875 Si
0.250 0.125 0.375 Si
0.875 0.125 0.250 Si
0.750 0.375 0.125 Si
0.875 0.250 0.625 C
0.500 0.500 0.500 C
0.875 0.625 0.750 C
0.375 0.125 0.750 C
0.250 0.375 0.625 C
0.750 0.625 0.375 C
0.250 0.875 0.125 C
0.125 0.375 0.250 C
0.625 0.875 0.250 C
0.000 0.000 0.000 C
0.000 0.500 0.500 C
0.125 0.750 0.375 C
0.625 0.750 0.875 C
0.375 0.250 0.125 C
0.500 0.000 0.500 C
0.750 0.125 0.875 C
0.000 0.000 0.500 C
0.000 0.500 0.000 C
0.500 0.000 0.000 C
0.500 0.500 0.000 C
```

As for the symmetry: Ia-3d, No. 230.

=====

This record from Alexandria describes crystalline Pm6SiC at its relaxed geometry. The functional is PBE-GGA.

Geometry as POSCAR:
```
Pm6SiC
1.0
6.068 -0.784 -0.190
-0.326 6.110 -0.190
1.472 1.366 5.781
Pm C Si
6 1 1
Direct
0.290 0.290 0.084 Pm
0.710 0.085 0.290 Pm
0.710 0.710 0.916 Pm
0.085 0.710 0.290 Pm
0.290 0.915 0.710 Pm
0.915 0.290 0.710 Pm
0.000 0.000 0.000 C
0.500 0.500 0.500 Si
```

As for the symmetry: R-3m, No. 166.

=====

This record from Alexandria describes crystalline Pm8Si2C at its relaxed geometry. The functional is PBE-GGA.

Geometry as POSCAR:
```
Pm8Si2C
1.0
-2.868 2.418 -1.523
-0.752 -5.295 -6.991
-4.687 -5.586 5.342
Si Pm C
2 8 1
Direct
0.174 0.764 0.347 Si
0.826 0.236 0.653 Si
0.354 0.996 0.707 Pm
0.596 0.561 0.192 Pm
0.404 0.439 0.808 Pm
0.993 0.811 0.986 Pm
0.646 0.004 0.293 Pm
0.007 0.189 0.014 Pm
0.784 0.652 0.569 Pm
0.216 0.348 0.431 Pm
0.500 0.000 0.000 C
```

As for the symmetry: C2/m, No. 12.

=====

This record from Alexandria describes crystalline Pm2Ta2Si2C at its relaxed geometry. The functional is PBE-GGA.

Geometry as POSCAR:
```
Pm2Ta2Si2C
1.0
4.256 0.000 0.000
0.000 4.256 0.000
-2.128 -2.128 7.727
Pm Ta Si C
2 2 2 1
Direct
0.168 0.168 0.337 Pm
0.832 0.832 0.663 Pm
0.000 0.500 0.000 Ta
0.500 0.000 0.000 Ta
0.381 0.381 0.761 Si
0.619 0.619 0.239 Si
0.000 0.000 0.000 C
```

As for the symmetry: I4/mmm, No. 139.

=====

This record from Alexandria describes crystalline Pm2Si2Tc2C at its relaxed geometry. The functional is PBE-GGA.

Geometry as POSCAR:
```
Pm2Si2Tc2C
1.0
-2.795 -2.892 0.633
-2.406 -1.672 -5.169
2.334 -5.421 -1.373
C Tc Pm Si
1 2 2 2
Direct
0.000 0.000 0.000 C
0.796 0.316 0.092 Tc
0.204 0.684 0.908 Tc
0.431 0.838 0.300 Pm
0.569 0.162 0.700 Pm
0.850 0.598 0.701 Si
0.150 0.402 0.299 Si
```

As for the symmetry: C2/m, No. 12.

=====

This record from Alexandria describes crystalline Pm2SiTcC at its relaxed geometry. The functional is PBE-GGA.

Geometry as POSCAR:
```
Pm2SiTcC
1.0
4.176 0.000 0.000
0.000 6.321 -0.088
0.000 -2.833 8.236
C Tc Pm Si
2 2 4 2
Direct
0.750 0.190 0.172 C
0.250 0.810 0.828 C
0.250 0.497 0.743 Tc
0.750 0.503 0.257 Tc
0.250 0.213 0.382 Pm
0.750 0.771 0.024 Pm
0.250 0.229 0.976 Pm
0.750 0.787 0.618 Pm
0.250 0.694 0.299 Si
0.750 0.306 0.701 Si
```

As for the symmetry: P2_1/m, No. 11.

=====

For reference, energy relative to the elements, uncorrected by record: -0.431; -0.130; 0.042; -0.154; -0.028; -0.382; -0.131; -0.186; -0.190; 0.358; -0.336; -0.212; -0.137; -0.201; -0.121; -0.233; -0.579; -0.646; -0.304 eV/atom.
For reference, total energy by record: -5.831; -5.949; -6.424; -6.191; -7.100; -5.964; -6.168; -5.583; -5.798; -5.679; -5.918; -6.098; -6.491; -6.171; -5.515; -5.513; -8.190; -7.832; -7.207 eV per atom.